## TbDyTi (GGA-PBE)

Data for crystalline TbDyTi at its relaxed geometry.

Total energy (eV per formula unit): -16.840
DOS(E_F) (states/eV/cell): 9.32
Energy relative to the elements (eV per formula unit): 0.3

The structure in CIF format:
```
data_TbDyTi
_chemical_formula_sum 'Tb2 Dy2 Ti2'
_cell_length_a 3.563
_cell_length_b 3.563
_cell_length_c 12.750
_cell_angle_alpha 90.00
_cell_angle_beta 90.00
_cell_angle_gamma 90.00
_space_group_name_H-M_alt 'P 4/n m m'
_space_group_IT_number 129
loop_
_space_group_symop_operation_xyz
'x,y,z'
'-x,-y,-z'
'-y+1/2,x,z'
'y+1/2,-x,-z'
'-x+1/2,-y+1/2,z'
'x+1/2,y+1/2,-z'
'y,-x+1/2,z'
'-y,x+1/2,-z'
'x+1/2,-y,-z'
'-x+1/2,y,z'
'-y,-x,-z'
'y,x,z'
'-x,y+1/2,-z'
'x,-y+1/2,z'
'y+1/2,x+1/2,-z'
'-y+1/2,-x+1/2,z'
loop_
_atom_site_label
_atom_site_type_symbol
_atom_site_fract_x
_atom_site_fract_y
_atom_site_fract_z
Tb1 Tb 0.250 0.250 0.095
Dy1 Dy 0.250 0.250 0.698
Ti1 Ti 0.250 0.250 0.457
```